Material: LiVGaCu
Method: DFT, PBE
State: relaxed

Lattice parameters (Å, degrees): 5.968 5.968 5.968 90.00 90.00 90.00
Atoms (fractional coordinates):
1 Li 0.000 0.000 0.000
2 Li 0.000 0.500 0.500
3 Li 0.500 0.000 0.500
4 Li 0.500 0.500 0.000
5 V 0.250 0.250 0.250
6 V 0.250 0.750 0.750
7 V 0.750 0.250 0.750
8 V 0.750 0.750 0.250
9 Ga 0.250 0.250 0.750
10 Ga 0.250 0.750 0.250
11 Ga 0.750 0.250 0.250
12 Ga 0.750 0.750 0.750
13 Cu 0.000 0.000 0.500
14 Cu 0.000 0.500 0.000
15 Cu 0.500 0.000 0.000
16 Cu 0.500 0.500 0.500

Calculated values
Calculated total energy in eV/atom: -4.495
Symmetry: F-43m (216)
E_form in eV/atom: 0.044